VASP calculation (GGA-PBE) on crystalline LiAlCr2 at its relaxed geometry.

Unit cell a=2.473 b=4.246 c=4.898 alpha=90.00 beta=102.39 gamma=90.00
Positions (direct):
Li (0.000, 0.000, 0.000)
Al (0.000, 0.000, 0.500)
Cr (0.477, 0.500, 0.260)
Cr (0.523, 0.500, 0.740)

Properties
ΔE_f ... 86 kJ/mol of formula units